Density functional theory data (PBE) for Tb6PrNd2Dy3 after structural relaxation.

Output
E: -55.708 eV per formula unit
Formation enthalpy at 0 K: 0.02 eV/atom
Mass density: 7.92 g cm⁻³

Lattice parameters (Å, degrees): 6.2204 10.7699 11.8822 90.00 100.02 90.00
Space group C2/m (No. 12)
One atom of each set of equivalent atoms:
Tb (0.2482, 0.0000, 0.2460) x4
Tb (0.2479, 0.3332, 0.2460) x8
Pr (0.0000, 0.0000, 0.5000) x2
Nd (0.0000, 0.3335, 0.5000) x4
Dy (0.0000, 0.1667, 0.0000) x4
Dy (0.0000, 0.5000, 0.0000) x2